VASP calculation (GGA-PBE) on a relaxed Pr2HoPu3Se6 crystal.

a = 4.163 Å, b = 8.351 Å, c = 9.315 Å
α = 102.43°, β = 102.91°, γ = 90.00°
Fractional coordinates of all 12 atoms:
Pu 0.500 0.500 0.000
Pu 0.169 0.835 0.338
Pu 0.831 0.165 0.662
Pr 0.834 0.664 0.668
Pr 0.166 0.336 0.332
Se 0.997 0.243 0.994
Se 0.336 0.924 0.672
Se 0.335 0.409 0.670
Se 0.665 0.591 0.330
Se 0.003 0.757 0.006
Se 0.664 0.076 0.328
Ho 0.500 0.000 0.000

Calculated values
- Energy relative to the elements, uncorrected: -1.679 eV/atom
- Magnetization: 0.465 μB per atom